No. 1
A relaxed structure of NaDy2Rh. Source: Alexandria via LeMat-Bulk, functional PBE-GGA.

Summary:
D(E_F), states/eV/atom: 0.781
Space-group type: P4/mmm (123)
Energy of formation, eV/atom: -0.3612

```
NaDy2Rh
1.0
-1.0361 3.1729 -0.9167
-3.1863 -0.7076 1.1523
2.3315 3.1899 8.4057
Na Rh Dy
1 1 2
direct
0.5000 0.5000 0.5000
0.5000 0.5000 0.0000
0.0000 0.0000 0.8260
0.0000 0.0000 0.1740
```

No. 2
A relaxed structure of CrHPd3. Source: Alexandria via LeMat-Bulk, functional PBE-GGA.

Summary:
D(E_F), states/eV/atom: 0.864
Space-group type: Amm2 (38)
ΔE to the lowest computed polymorph, meV per atom: 575.5

```
CrHPd3
1.0
2.7336 0.0000 0.0000
0.0000 2.7055 -6.2238
0.0000 2.7055 6.2238
Cr Pd H
1 3 1
direct
0.5000 0.0890 0.9110
0.5000 0.1679 0.3267
0.5000 0.6733 0.8321
0.0000 0.2568 0.7432
0.0000 0.4409 0.5591
```

No. 3
A relaxed structure of K4Ba. Source: Alexandria via LeMat-Bulk, functional PBE-GGA.

Summary:
D(E_F), states/eV/atom: 1.044
Space-group type: Fmmm (69)
ΔE to the lowest computed polymorph, meV per atom: 0.0
Energy of formation, eV/atom: 0.0415

```
K4Ba
1.0
4.4480 -0.1063 -0.3487
-1.6519 4.1312 -0.3487
0.1333 0.1919 19.2088
K Ba
4 1
direct
0.5988 0.5988 0.1976
0.2000 0.2000 0.4000
0.8000 0.8000 0.6000
0.4012 0.4012 0.8024
0.0000 0.0000 0.0000
```

No. 4
A relaxed structure of NiTeAs2. Source: Alexandria via LeMat-Bulk, functional PBE-GGA.

Summary:
D(E_F), states/eV/atom: 1.068
Space-group type: P4/mmm (123)
Raw formation energy, eV per atom: 0.441

```
NiTeAs2
1.0
-3.3263 2.7728 3.4649
-3.0252 -1.4563 -1.7387
0.0405 -2.9328 2.3859
As Ni Te
2 1 1
direct
0.0000 0.0000 0.0000
0.0000 0.5000 0.5000
0.5000 0.5000 0.0000
0.5000 0.0000 0.5000
```

No. 5
A relaxed structure of HfSbTe2Ir. Source: Alexandria via LeMat-Bulk, functional PBE-GGA.

Summary:
D(E_F), states/eV/atom: 1.411
Space-group type: P4/mmm (123)
ΔE to the lowest computed polymorph, meV per atom: 429.3
Raw formation energy, eV per atom: 1.044

```
HfSbTe2Ir
1.0
5.3994 0.0000 0.0000
0.0000 5.3994 0.0000
0.0000 0.0000 5.5045
Sb Te Ir Hf
1 2 1 1
direct
0.0000 0.0000 0.5000
0.0000 0.5000 0.0000
0.5000 0.0000 0.0000
0.5000 0.5000 0.5000
0.0000 0.0000 0.0000
```

No. 6
A relaxed structure of TcS. Source: Alexandria via LeMat-Bulk, functional PBE-GGA.

Summary:
D(E_F), states/eV/atom: 0.882
Space-group type: Cm (8)
ΔE to the lowest computed polymorph, meV per atom: 299.2
Raw formation energy, eV per atom: -0.090

```
TcS
1.0
4.0059 0.0000 0.0000
0.0000 4.2830 0.0000
-2.2855 0.0000 3.6302
S Tc
2 2
direct
0.1313 0.0000 0.4925
0.1313 0.5000 0.9925
0.4368 0.0000 0.1446
0.4368 0.5000 0.6446
```

These records have DFT total energy values of -4.83 -5.22 -1.22 -4.11 -4.80 -7.34 eV per atom, in the order they appear.
These records have M_tot values of 0.000 3.422 0.000 0.000 1.883 0.000 μB per cell, in the order they appear.
These records have calculated volume values of 111 92 350 79 160 62 Å³/cell, in the order they appear.